[1]
BaCdSb2 | PBE | optimized geometry

## Properties
* formation energy from raw total energies: -232 kJ/mol of formula units
* symmetry: P4/nmm, No. 129
* E_tot: -3.37 eV per atom
* magnetization: 0.0 Bohr magnetons per cell

a b c (Å): 4.609 4.609 12.405
angles (deg): 90.00 90.00 90.00
Sites, in units of the cell vectors:
Sb1 0.000 0.000 0.500
Sb2 0.000 0.500 0.849
Sb3 0.500 0.500 0.500
Sb4 0.500 0.000 0.151
Cd1 0.500 0.500 0.000
Cd2 0.000 0.000 0.000
Ba1 0.000 0.500 0.274
Ba2 0.500 0.000 0.726

---

[2]
BaCd2Sb2 | PBE | optimized geometry

## Properties
* formation energy from raw total energies: -252 kJ/mol of formula units
* energy relative to the lowest polymorph listed for this composition: 26 meV/atom
* symmetry: Pnma, No. 62
* E_tot: -2.92 eV per atom
* magnetization: 0.0 Bohr magnetons per cell

a b c (Å): 4.764 11.196 12.242
angles (deg): 90.00 90.00 90.00
Sites, in units of the cell vectors:
Cd1 0.250 0.570 0.390
Cd2 0.250 0.082 0.541
Cd3 0.750 0.918 0.459
Cd4 0.250 0.070 0.110
Cd5 0.750 0.418 0.041
Cd6 0.750 0.430 0.610
Cd7 0.250 0.582 0.959
Cd8 0.750 0.930 0.890
Sb1 0.250 0.836 0.984
Sb2 0.750 0.164 0.016
Sb3 0.750 0.538 0.823
Sb4 0.750 0.664 0.484
Sb5 0.250 0.462 0.177
Sb6 0.250 0.962 0.323
Sb7 0.750 0.038 0.677
Sb8 0.250 0.336 0.516
Ba1 0.250 0.257 0.808
Ba2 0.750 0.743 0.192
Ba3 0.250 0.757 0.692
Ba4 0.750 0.243 0.308

---

[3]
BaCdSb2 | PBE | optimized geometry

## Properties
* formation energy from raw total energies: -132 kJ/mol of formula units
* symmetry: Pmm2, No. 25
* E_tot: -3.11 eV per atom
* magnetization: 0.0 Bohr magnetons per cell

a b c (Å): 5.853 3.596 6.194
angles (deg): 90.02 90.00 90.00
Sites, in units of the cell vectors:
Cd1 0.500 0.000 0.793
Ba1 0.000 0.500 0.454
Sb1 0.500 0.000 0.300
Sb2 0.000 0.000 0.953

---

[4]
BaCdSb2 | PBE | optimized geometry

## Properties
* formation energy from raw total energies: -234 kJ/mol of formula units
* symmetry: I4/mmm, No. 139
* E_tot: -3.38 eV per atom
* magnetization: 0.0 Bohr magnetons per cell

a b c (Å): 12.822 12.822 12.822
angles (deg): 159.31 159.31 29.43
Sites, in units of the cell vectors:
Sb1 0.500 0.000 0.500
Sb2 0.674 0.674 0.000
Sb3 0.000 0.500 0.500
Sb4 0.326 0.326 0.000
Ba1 0.888 0.888 0.000
Ba2 0.112 0.112 0.000
Cd1 0.750 0.250 0.500
Cd2 0.250 0.750 0.500

---

[5]
Ba4Cd3Sb | PBE | optimized geometry

## Properties
* formation energy from raw total energies: -373 kJ/mol of formula units
* symmetry: P4/mmm, No. 123
* E_tot: -2.30 eV per atom
* magnetization: 0.0 Bohr magnetons per cell

a b c (Å): 4.336 4.336 16.583
angles (deg): 90.00 90.00 90.00
Sites, in units of the cell vectors:
Ba1 0.000 0.000 0.889
Ba2 0.000 0.000 0.111
Ba3 0.000 0.000 0.629
Ba4 0.000 0.000 0.371
Cd1 0.500 0.500 0.751
Cd2 0.500 0.500 0.500
Cd3 0.500 0.500 0.249
Sb1 0.500 0.500 0.000

---

[6]
BaCdSb2 | PBE | optimized geometry

## Properties
* formation energy from raw total energies: -154 kJ/mol of formula units
* symmetry: Cm, No. 8
* E_tot: -3.17 eV per atom
* magnetization: 0.0 Bohr magnetons per cell

a b c (Å): 6.298 6.298 5.658
angles (deg): 67.46 67.46 40.97
Sites, in units of the cell vectors:
Sb1 0.708 0.708 0.829
Sb2 0.019 0.019 0.981
Ba1 0.492 0.492 0.503
Cd1 0.282 0.282 0.187

---

[7]
Ba2Cd2Sb | PBE | optimized geometry

## Properties
* formation energy from raw total energies: -219 kJ/mol of formula units
* energy relative to the lowest polymorph listed for this composition: 30 meV/atom
* symmetry: P4/mbm, No. 127
* E_tot: -2.41 eV per atom
* magnetization: 0.0 Bohr magnetons per cell

a b c (Å): 8.398 8.398 5.090
angles (deg): 90.00 90.00 90.00
Sites, in units of the cell vectors:
Ba1 0.184 0.684 0.500
Ba2 0.684 0.816 0.500
Ba3 0.816 0.316 0.500
Ba4 0.316 0.184 0.500
Sb1 0.000 0.000 0.000
Sb2 0.500 0.500 0.000
Cd1 0.121 0.379 0.000
Cd2 0.621 0.121 0.000
Cd3 0.379 0.879 0.000
Cd4 0.879 0.621 0.000

---

[8]
Ba3Cd2Sb4 | PBE | optimized geometry

## Properties
* formation energy from raw total energies: -675 kJ/mol of formula units
* energy relative to the lowest polymorph listed for this composition: 0 meV/atom
* symmetry: C2/m, No. 12
* E_tot: -3.45 eV per atom
* magnetization: 0.0 Bohr magnetons per cell

a b c (Å): 9.397 9.397 7.827
angles (deg): 68.82 68.82 30.37
Sites, in units of the cell vectors:
Sb1 0.498 0.498 0.685
Sb2 0.502 0.502 0.315
Sb3 0.207 0.207 0.803
Sb4 0.793 0.793 0.197
Ba1 0.858 0.858 0.592
Ba2 0.000 0.000 0.000
Ba3 0.142 0.142 0.408
Cd1 0.668 0.668 0.029
Cd2 0.332 0.332 0.971

---

[9]
Ba6Cd5Sb | PBE | optimized geometry

## Properties
* formation energy from raw total energies: -514 kJ/mol of formula units
* symmetry: Cmmm, No. 65
* E_tot: -2.13 eV per atom
* magnetization: 0.0 Bohr magnetons per cell

a b c (Å): 6.019 8.473 9.589
angles (deg): 89.99 71.71 89.97
Sites, in units of the cell vectors:
Cd1 0.669 0.500 0.663
Cd2 0.675 0.000 0.650
Cd3 0.331 0.500 0.337
Cd4 0.000 0.500 0.000
Cd5 0.325 0.000 0.350
Ba1 0.164 0.752 0.672
Ba2 0.164 0.248 0.672
Ba3 0.500 0.240 0.000
Ba4 0.836 0.248 0.328
Ba5 0.500 0.760 0.000
Ba6 0.836 0.752 0.328
Sb1 0.000 0.000 0.000

---

[10]
BaCdSb2 | PBE | optimized geometry

## Properties
* formation energy from raw total energies: -141 kJ/mol of formula units
* symmetry: I-42d, No. 122
* E_tot: -3.14 eV per atom
* magnetization: 0.0 Bohr magnetons per cell

a b c (Å): 5.580 5.580 10.770
angles (deg): 74.99 74.99 90.00
Sites, in units of the cell vectors:
Cd1 0.250 0.750 0.500
Cd2 0.500 0.500 0.000
Sb1 0.875 0.732 0.750
Sb2 0.375 0.518 0.750
Sb3 0.482 0.125 0.250
Sb4 0.268 0.625 0.250
Ba1 0.000 0.000 0.000
Ba2 0.750 0.250 0.500

---

[11]
BaCdSb2 | PBE | optimized geometry

## Properties
* formation energy from raw total energies: -116 kJ/mol of formula units
* symmetry: C2/m, No. 12
* E_tot: -3.07 eV per atom
* magnetization: 0.0 Bohr magnetons per cell

a b c (Å): 6.018 6.018 3.636
angles (deg): 90.09 90.09 105.76
Sites, in units of the cell vectors:
Sb1 0.000 0.000 0.000
Sb2 0.500 0.500 0.000
Cd1 0.000 0.500 0.500
Ba1 0.500 0.000 0.500

---

[12]
Ba2Cd2Sb3 | PBE | optimized geometry

## Properties
* formation energy from raw total energies: -471 kJ/mol of formula units
* symmetry: C2/m, No. 12
* E_tot: -3.27 eV per atom
* magnetization: 0.0 Bohr magnetons per cell

a b c (Å): 9.479 9.479 13.636
angles (deg): 54.59 54.59 30.05
Sites, in units of the cell vectors:
Cd1 0.408 0.408 0.655
Cd2 0.592 0.592 0.345
Cd3 0.958 0.958 0.310
Cd4 0.042 0.042 0.690
Ba1 0.264 0.264 0.338
Ba2 0.601 0.601 0.057
Ba3 0.736 0.736 0.662
Ba4 0.399 0.399 0.943
Sb1 0.844 0.844 0.805
Sb2 0.081 0.081 0.875
Sb3 0.919 0.919 0.125
Sb4 0.613 0.613 0.542
Sb5 0.387 0.387 0.458
Sb6 0.156 0.156 0.195

---

[13]
BaCdSb2 | PBE | optimized geometry

## Properties
* formation energy from raw total energies: -133 kJ/mol of formula units
* symmetry: Cmmm, No. 65
* E_tot: -3.11 eV per atom
* magnetization: 0.0 Bohr magnetons per cell

a b c (Å): 4.227 4.227 7.128
angles (deg): 90.00 90.00 90.08
Sites, in units of the cell vectors:
Cd1 0.500 0.500 0.750
Sb1 0.000 0.000 0.546
Sb2 0.000 0.000 0.954
Ba1 0.500 0.500 0.250

---

[14]
Ba2CdSb2 | PBE | optimized geometry

## Properties
* formation energy from raw total energies: -351 kJ/mol of formula units
* symmetry: P4/mbm, No. 127
* E_tot: -3.33 eV per atom
* magnetization: 0.0 Bohr magnetons per cell

a b c (Å): 8.732 8.732 4.953
angles (deg): 90.00 90.00 90.00
Sites, in units of the cell vectors:
Ba1 0.680 0.820 0.500
Ba2 0.180 0.680 0.500
Ba3 0.820 0.320 0.500
Ba4 0.320 0.180 0.500
Sb1 0.884 0.616 0.000
Sb2 0.116 0.384 0.000
Sb3 0.384 0.884 0.000
Sb4 0.616 0.116 0.000
Cd1 0.500 0.500 0.000
Cd2 0.000 0.000 0.000

---

[15]
BaCd2Sb2 | PBE | optimized geometry

## Properties
* formation energy from raw total energies: -239 kJ/mol of formula units
* energy relative to the lowest polymorph listed for this composition: 52 meV/atom
* symmetry: I4/mmm, No. 139
* E_tot: -2.90 eV per atom
* magnetization: 0.0 Bohr magnetons per cell

a b c (Å): 4.617 4.617 8.100
angles (deg): 73.44 73.44 90.00
Sites, in units of the cell vectors:
Cd1 0.750 0.250 0.500
Cd2 0.250 0.750 0.500
Ba1 0.000 0.000 0.000
Sb1 0.622 0.622 0.755
Sb2 0.378 0.378 0.245

---

[16]
Ba2Cd2Sb | PBE | optimized geometry

## Properties
* formation energy from raw total energies: -233 kJ/mol of formula units
* energy relative to the lowest polymorph listed for this composition: 0 meV/atom
* symmetry: I4/mmm, No. 139
* E_tot: -2.44 eV per atom
* magnetization: 0.0 Bohr magnetons per cell

a b c (Å): 4.288 4.288 10.822
angles (deg): 78.57 78.57 90.00
Sites, in units of the cell vectors:
Sb1 0.000 0.000 0.000
Ba1 0.590 0.590 0.819
Ba2 0.410 0.410 0.181
Cd1 0.750 0.250 0.500
Cd2 0.250 0.750 0.500

---

[17]
BaCd2Sb2 | PBE | optimized geometry

## Properties
* formation energy from raw total energies: -152 kJ/mol of formula units
* energy relative to the lowest polymorph listed for this composition: 233 meV/atom
* symmetry: P4/mbm, No. 127
* E_tot: -2.72 eV per atom
* magnetization: 0.0 Bohr magnetons per cell

a b c (Å): 8.792 8.792 3.824
angles (deg): 90.00 90.00 90.00
Sites, in units of the cell vectors:
Sb1 0.684 0.816 0.500
Sb2 0.184 0.684 0.500
Sb3 0.316 0.184 0.500
Sb4 0.816 0.316 0.500
Cd1 0.117 0.383 0.000
Cd2 0.383 0.883 0.000
Cd3 0.883 0.617 0.000
Cd4 0.617 0.117 0.000
Ba1 0.000 0.000 0.000
Ba2 0.500 0.500 0.000

---

[18]
BaCd3Sb | PBE | optimized geometry

## Properties
* formation energy from raw total energies: 388 kJ/mol of formula units
* energy relative to the lowest polymorph listed for this composition: 747 meV/atom
* symmetry: Pm-3m, No. 221
* E_tot: -0.95 eV per atom
* magnetization: 1.1 Bohr magnetons per cell

a b c (Å): 6.384 6.384 6.384
angles (deg): 90.00 90.00 90.00
Each line ends with the local moment (μB).
Sites, in units of the cell vectors:
Sb1 0.500 0.500 0.500  0.47
Ba1 0.000 0.000 0.000  -0.06
Cd1 0.000 0.500 0.000  0.01
Cd2 0.500 0.000 0.000  0.00
Cd3 0.000 0.000 0.500  0.01

---

[19]
BaCd2Sb2 | PBE | optimized geometry

## Properties
* formation energy from raw total energies: -265 kJ/mol of formula units
* energy relative to the lowest polymorph listed for this composition: 0 meV/atom
* symmetry: P-3m1, No. 164
* E_tot: -2.95 eV per atom
* magnetization: 0.0 Bohr magnetons per cell

a b c (Å): 4.870 4.870 8.144
angles (deg): 90.00 90.00 120.00
Sites, in units of the cell vectors:
Ba1 0.000 0.000 0.000
Cd1 0.333 0.667 0.367
Cd2 0.667 0.333 0.633
Sb1 0.667 0.333 0.263
Sb2 0.333 0.667 0.737

---

[20]
Ba3Cd2Sb4 | PBE | optimized geometry

## Properties
* formation energy from raw total energies: -603 kJ/mol of formula units
* energy relative to the lowest polymorph listed for this composition: 83 meV/atom
* symmetry: C2/m, No. 12
* E_tot: -3.37 eV per atom
* magnetization: 0.0 Bohr magnetons per cell

a b c (Å): 4.968 7.149 10.239
angles (deg): 111.75 90.00 110.33
Sites, in units of the cell vectors:
Cd1 0.313 0.627 0.662
Cd2 0.687 0.373 0.338
Ba1 0.377 0.755 0.311
Ba2 0.623 0.245 0.689
Ba3 0.000 0.000 0.000
Sb1 0.285 0.570 0.938
Sb2 0.715 0.430 0.062
Sb3 0.095 0.191 0.399
Sb4 0.905 0.809 0.601